No. 1
This record from Alexandria via LeMat-Bulk describes crystalline TaVZnCo at its relaxed geometry. The functional is GGA-PBE.

```
TaVZnCo
1.0
0.000 3.046 3.046
3.046 0.000 3.046
3.046 3.046 0.000
Ta V Zn Co
1 1 1 1
Cartesian
0.000 0.000 0.000 Ta
1.523 1.523 1.523 V
3.046 3.046 3.046 Zn
4.569 4.569 4.569 Co
```

Properties
The calculation puts the final energy at -7.33 eV per atom. As for the space group: F-43m, No. 216.

No. 2
This record from Alexandria via LeMat-Bulk describes crystalline ZrTaVCo at its relaxed geometry. The functional is GGA-PBE.

```
ZrTaVCo
1.0
0.000 3.161 3.161
3.161 0.000 3.161
3.161 3.161 0.000
Zr Ta V Co
1 1 1 1
Cartesian
0.000 0.000 0.000 Zr
3.161 3.161 3.161 Ta
1.581 1.581 1.581 V
4.742 4.742 4.742 Co
```

Properties
The calculation puts the final energy at -9.17 eV per atom. As for the space group: F-43m, No. 216.

No. 3
This record from Alexandria via LeMat-Bulk describes crystalline TaCo2W at its relaxed geometry. The functional is GGA-PBE.

```
TaCo2W
1.0
1.376 0.794 8.783
-1.376 0.794 8.783
0.000 -1.589 8.783
Ta Co W
1 2 1
Cartesian
0.000 0.000 0.000 Ta
0.000 0.000 12.871 Co
0.000 0.000 19.772 Co
0.000 0.000 6.209 W
```

Properties
The calculation puts the final energy at -9.43 eV per atom. As for the space group: R3m, No. 160.

No. 4
This record from Alexandria via LeMat-Bulk describes crystalline Ta2Co9W at its relaxed geometry. The functional is GGA-PBE.

```
Ta2Co9W
1.0
3.623 0.000 0.000
0.000 3.623 0.000
0.000 0.000 10.873
Ta Co W
2 9 1
Cartesian
0.000 0.000 1.811 Ta
0.000 0.000 9.062 Ta
0.000 1.812 0.000 Co
0.000 1.812 3.678 Co
0.000 1.812 7.196 Co
1.812 0.000 0.000 Co
1.812 0.000 3.678 Co
1.812 0.000 7.196 Co
1.812 1.812 1.836 Co
1.812 1.812 5.437 Co
1.812 1.812 9.037 Co
0.000 0.000 5.437 W
```

Properties
The calculation puts the final energy at -8.56 eV per atom. As for the space group: P4/mmm, No. 123.

No. 5
This record from Alexandria via LeMat-Bulk describes crystalline TaCo2W at its relaxed geometry. The functional is GGA-PBE.

```
TaCo2W
1.0
2.735 0.000 0.000
0.000 3.667 0.000
-0.068 0.000 5.448
Ta Co W
1 2 1
Cartesian
0.000 0.000 0.000 Ta
1.351 1.834 1.411 Co
1.317 1.834 4.037 Co
-0.034 0.000 2.724 W
```

Properties
The calculation puts the final energy at -9.78 eV per atom. As for the space group: P2/m, No. 10.

No. 6
This record from Alexandria via LeMat-Bulk describes crystalline TaCo2W at its relaxed geometry. The functional is GGA-PBE.

```
TaCo2W
1.0
-3.322 3.322 2.658
3.322 -3.322 2.658
3.322 3.322 -2.658
Ta Co W
2 4 2
Cartesian
0.000 0.000 0.000 Ta
0.000 3.322 1.329 Ta
1.661 1.737 -0.664 Co
4.907 1.661 0.664 Co
1.661 1.585 1.993 Co
-1.585 1.661 3.322 Co
3.322 0.000 1.329 W
0.000 0.000 2.658 W
```

Properties
The calculation puts the final energy at -9.28 eV per atom. As for the space group: I-42d, No. 122.

No. 7
This record from Alexandria via LeMat-Bulk describes crystalline TaCo2W at its relaxed geometry. The functional is GGA-PBE.

```
TaCo2W
1.0
-1.930 1.930 3.669
1.930 -1.930 3.669
1.930 1.930 -3.669
Ta Co W
1 2 1
Cartesian
0.000 0.000 0.000 Ta
1.930 0.000 1.835 Co
0.000 1.930 1.835 Co
0.000 0.000 3.669 W
```

Properties
The calculation puts the final energy at -9.78 eV per atom. As for the space group: I4/mmm, No. 139.

No. 8
This record from Alexandria via LeMat-Bulk describes crystalline TaCo4W at its relaxed geometry. The functional is GGA-PBE.

```
TaCo4W
1.0
-2.190 3.990 4.401
2.190 -3.990 4.401
2.190 3.990 -4.401
Ta Co W
2 8 2
Cartesian
0.000 1.995 1.099 Ta
2.190 1.995 3.302 Ta
2.190 3.297 -3.224 Co
2.190 0.673 1.044 Co
2.190 -0.693 3.224 Co
0.000 0.673 3.357 Co
2.190 3.317 1.044 Co
0.000 4.683 1.177 Co
0.000 3.317 3.357 Co
0.000 0.693 7.625 Co
2.190 1.995 -1.086 W
0.000 1.995 5.487 W
```

Properties
As for the space group: Imma, No. 74. Its excess energy over the best structure of this formula in the dataset is 0.103 eV/atom.